# LiBrO2F (PBE, optimized geometry)
data_LiBrO2F
_chemical_formula_sum 'Li1 Br1 O2 F1'
_cell_length_a 3.785
_cell_length_b 3.785
_cell_length_c 5.264
_cell_angle_alpha 90.00
_cell_angle_beta 90.00
_cell_angle_gamma 90.00
_symmetry_space_group_name_H-M 'P 4/m m m'
_symmetry_Int_Tables_number 123
_symmetry_space_group_name_Hall '-P 4 2'
loop_
_atom_site_label
_atom_site_type_symbol
_atom_site_fract_x
_atom_site_fract_y
_atom_site_fract_z
_atom_site_occupancy
Li1 Li 0.000 0.000 0.000 1
Br1 Br 0.500 0.500 0.500 1
O1 O 0.000 0.500 0.500 1
F1 F 0.500 0.500 0.000 1
# ΔE_f (raw) ... -38.65 kJ per mole of atoms

---

# Tb3Pr4Hg (PBE, optimized geometry)
data_Tb3Pr4Hg
_chemical_formula_sum 'Tb3 Pr4 Hg1'
_cell_length_a 3.693
_cell_length_b 3.693
_cell_length_c 19.335
_cell_angle_alpha 90.00
_cell_angle_beta 90.00
_cell_angle_gamma 90.00
_symmetry_space_group_name_H-M 'P 4/m m m'
_symmetry_Int_Tables_number 123
_symmetry_space_group_name_Hall '-P 4 2'
loop_
_atom_site_label
_atom_site_type_symbol
_atom_site_fract_x
_atom_site_fract_y
_atom_site_fract_z
_atom_site_occupancy
Tb1 Tb 0.000 0.000 0.000 1
Tb2 Tb 0.000 0.000 0.260 1
Pr1 Pr 0.500 0.500 0.130 1
Pr2 Pr 0.500 0.500 0.392 1
Hg1 Hg 0.000 0.000 0.500 1
# Energy of formation ... -0.0971 eV/atom

---

# TmVFeGe3 (PBE, optimized geometry)
data_TmVFeGe3
_chemical_formula_sum 'Tm4 V4 Fe4 Ge12'
_cell_length_a 5.725
_cell_length_b 10.506
_cell_length_c 7.538
_cell_angle_alpha 90.00
_cell_angle_beta 90.00
_cell_angle_gamma 90.00
_symmetry_space_group_name_H-M 'C m c m'
_symmetry_Int_Tables_number 63
_symmetry_space_group_name_Hall '-C 2c 2'
loop_
_atom_site_label
_atom_site_type_symbol
_atom_site_fract_x
_atom_site_fract_y
_atom_site_fract_z
_atom_site_occupancy
Tm1 Tm 0.000 0.244 0.250 1
V1 V 0.000 0.058 0.750 1
Fe1 Fe 0.000 0.492 0.750 1
Ge1 Ge 0.000 0.277 0.750 1
Ge2 Ge 0.236 0.500 0.000 1
# Energy of formation ... -0.1331 eV/atom

---

# CdSiCl (PBE, optimized geometry)
data_CdSiCl
_chemical_formula_sum 'Cd1 Si1 Cl1'
_cell_length_a 3.1229
_cell_length_b 3.1229
_cell_length_c 7.6926
_cell_angle_alpha 90.00
_cell_angle_beta 90.00
_cell_angle_gamma 120.00
_symmetry_space_group_name_H-M 'P 3 m 1'
_symmetry_Int_Tables_number 156
loop_
_symmetry_equiv_pos_as_xyz
'x,y,z'
'-y,x-y,z'
'-x+y,-x,z'
'-y,-x,z'
'-x+y,y,z'
'x,x-y,z'
loop_
_atom_site_label
_atom_site_type_symbol
_atom_site_fract_x
_atom_site_fract_y
_atom_site_fract_z
_atom_site_occupancy
Cd1 Cd 0.0000 0.0000 0.0000 1
Si1 Si 0.3333 0.6667 0.6569 1
Cl1 Cl 0.6667 0.3333 0.4175 1
# ΔE_f (raw) ... 15.27 kJ per mole of atoms

---

# HfSiTc (PBE, optimized geometry)
data_HfSiTc
_chemical_formula_sum 'Hf2 Si2 Tc2'
_cell_length_a 3.829
_cell_length_b 3.829
_cell_length_c 6.801
_cell_angle_alpha 90.00
_cell_angle_beta 90.00
_cell_angle_gamma 90.00
_symmetry_space_group_name_H-M 'P 4/n m m'
_symmetry_Int_Tables_number 129
loop_
_symmetry_equiv_pos_as_xyz
'x,y,z'
'-x,-y,-z'
'-y+1/2,x,z'
'y+1/2,-x,-z'
'-x+1/2,-y+1/2,z'
'x+1/2,y+1/2,-z'
'y,-x+1/2,z'
'-y,x+1/2,-z'
'x+1/2,-y,-z'
'-x+1/2,y,z'
'-y,-x,-z'
'y,x,z'
'-x,y+1/2,-z'
'x,-y+1/2,z'
'y+1/2,x+1/2,-z'
'-y+1/2,-x+1/2,z'
loop_
_atom_site_label
_atom_site_type_symbol
_atom_site_fract_x
_atom_site_fract_y
_atom_site_fract_z
_atom_site_occupancy
Hf1 Hf 0.250 0.250 0.156 1
Si1 Si 0.250 0.250 0.745 1
Tc1 Tc 0.250 0.750 0.500 1
# ΔE_f (raw) ... -57.18 kJ per mole of atoms

---

# TaAl2Ir3 (PBE, optimized geometry)
data_TaAl2Ir3
_chemical_formula_sum 'Ta1 Al2 Ir3'
_cell_length_a 2.929
_cell_length_b 2.929
_cell_length_c 10.141
_cell_angle_alpha 90.00
_cell_angle_beta 90.00
_cell_angle_gamma 90.00
_symmetry_space_group_name_H-M 'P 4/m m m'
_symmetry_Int_Tables_number 123
_symmetry_space_group_name_Hall '-P 4 2'
loop_
_atom_site_label
_atom_site_type_symbol
_atom_site_fract_x
_atom_site_fract_y
_atom_site_fract_z
_atom_site_occupancy
Ta1 Ta 0.000 0.000 0.000 1
Al1 Al 0.000 0.000 0.344 1
Ir1 Ir 0.500 0.500 0.189 1
Ir2 Ir 0.500 0.500 0.500 1
# Energy of formation ... -0.8834 eV/atom

---

# Fe2IrRh2 (PBE, optimized geometry)
data_Fe2IrRh2
_chemical_formula_sum 'Fe4 Ir2 Rh4'
_cell_length_a 7.065
_cell_length_b 7.065
_cell_length_c 2.651
_cell_angle_alpha 90.00
_cell_angle_beta 90.00
_cell_angle_gamma 90.00
_symmetry_space_group_name_H-M 'P 4/m b m'
_symmetry_Int_Tables_number 127
_symmetry_space_group_name_Hall '-P 4 2ab'
loop_
_atom_site_label
_atom_site_type_symbol
_atom_site_fract_x
_atom_site_fract_y
_atom_site_fract_z
_atom_site_occupancy
Fe1 Fe 0.170 0.330 0.000 1
Ir1 Ir 0.000 0.000 0.500 1
Rh1 Rh 0.128 0.628 0.500 1
# Energy of formation ... 0.3803 eV/atom

---

# Gd2SiPb (PBE, optimized geometry)
data_Gd2SiPb
_chemical_formula_sum 'Gd2 Si1 Pb1'
_cell_length_a 3.407
_cell_length_b 3.407
_cell_length_c 8.706
_cell_angle_alpha 90.00
_cell_angle_beta 90.00
_cell_angle_gamma 90.00
_symmetry_space_group_name_H-M 'P 4/m m m'
_symmetry_Int_Tables_number 123
_symmetry_space_group_name_Hall '-P 4 2'
loop_
_atom_site_label
_atom_site_type_symbol
_atom_site_fract_x
_atom_site_fract_y
_atom_site_fract_z
_atom_site_occupancy
Gd1 Gd 0.000 0.000 0.216 1
Si1 Si 0.500 0.500 0.000 1
Pb1 Pb 0.500 0.500 0.500 1
# ΔE_f (raw) ... -51.41 kJ per mole of atoms

---

# Tl2CdP (PBE, optimized geometry)
data_Tl2CdP
_chemical_formula_sum 'Tl4 Cd2 P2'
_cell_length_a 6.895
_cell_length_b 8.937
_cell_length_c 3.271
_cell_angle_alpha 90.00
_cell_angle_beta 90.36
_cell_angle_gamma 90.00
_symmetry_space_group_name_H-M 'C 1 2/m 1'
_symmetry_Int_Tables_number 12
loop_
_symmetry_equiv_pos_as_xyz
'x,y,z'
'-x,-y,-z'
'-x,y,-z'
'x,-y,z'
'x+1/2,y+1/2,z'
'-x+1/2,-y+1/2,-z'
'-x+1/2,y+1/2,-z'
'x+1/2,-y+1/2,z'
loop_
_atom_site_label
_atom_site_type_symbol
_atom_site_fract_x
_atom_site_fract_y
_atom_site_fract_z
_atom_site_occupancy
Tl1 Tl 0.250 0.250 0.000 1
Cd1 Cd 0.000 0.000 0.500 1
P1 P 0.000 0.500 0.500 1
# Energy of formation ... 0.3123 eV/atom

---

# Zr4Pt2O (PBE, optimized geometry)
data_Zr4Pt2O
_chemical_formula_sum 'Zr8 Pt4 O2'
_cell_length_a 4.339
_cell_length_b 4.339
_cell_length_c 14.092
_cell_angle_alpha 90.00
_cell_angle_beta 90.00
_cell_angle_gamma 90.00
_symmetry_space_group_name_H-M 'I 4/m m m'
_symmetry_Int_Tables_number 139
_symmetry_space_group_name_Hall '-I 4 2'
loop_
_atom_site_label
_atom_site_type_symbol
_atom_site_fract_x
_atom_site_fract_y
_atom_site_fract_z
_atom_site_occupancy
Zr1 Zr 0.000 0.000 0.185 1
Zr2 Zr 0.000 0.500 0.000 1
Pt1 Pt 0.000 0.000 0.367 1
O1 O 0.000 0.000 0.000 1
# ΔE_f (raw) ... -126.04 kJ per mole of atoms

---

# Li2Hg2O3 (PBE, optimized geometry)
data_Li2Hg2O3
_chemical_formula_sum 'Li8 Hg8 O12'
_cell_length_a 6.853
_cell_length_b 10.492
_cell_length_c 5.539
_cell_angle_alpha 90.00
_cell_angle_beta 90.00
_cell_angle_gamma 90.00
_symmetry_space_group_name_H-M 'C m c e'
_symmetry_Int_Tables_number 64
_symmetry_space_group_name_Hall '-C 2ac 2'
loop_
_atom_site_label
_atom_site_type_symbol
_atom_site_fract_x
_atom_site_fract_y
_atom_site_fract_z
_atom_site_occupancy
Li1 Li 0.000 0.152 0.195 1
Hg1 Hg 0.250 0.113 0.750 1
O1 O 0.000 0.000 0.000 1
O2 O 0.000 0.177 0.539 1
# ΔE_f (raw) ... -86.62 kJ per mole of atoms

---

# Tl2Re (PBE, optimized geometry)
data_Tl2Re
_chemical_formula_sum 'Tl2 Re1'
_cell_length_a 5.1341
_cell_length_b 5.1341
_cell_length_c 2.8450
_cell_angle_alpha 90.00
_cell_angle_beta 90.00
_cell_angle_gamma 120.00
_symmetry_space_group_name_H-M 'P 6/m m m'
_symmetry_Int_Tables_number 191
_symmetry_space_group_name_Hall '-P 6 2'
loop_
_atom_site_label
_atom_site_type_symbol
_atom_site_fract_x
_atom_site_fract_y
_atom_site_fract_z
_atom_site_occupancy
Tl1 Tl 0.3333 0.6667 0.0000 1
Re1 Re 0.0000 0.0000 0.5000 1
# Energy of formation ... 1.3448 eV/atom

---

# Tl2GeBiTe4 (PBE, optimized geometry)
data_Tl2GeBiTe4
_chemical_formula_sum 'Tl2 Ge1 Bi1 Te4'
_cell_length_a 7.708
_cell_length_b 4.479
_cell_length_c 8.096
_cell_angle_alpha 90.00
_cell_angle_beta 108.92
_cell_angle_gamma 90.00
_symmetry_space_group_name_H-M 'P 1 2/m 1'
_symmetry_Int_Tables_number 10
loop_
_symmetry_equiv_pos_as_xyz
'x,y,z'
'-x,-y,-z'
'-x,y,-z'
'x,-y,z'
loop_
_atom_site_label
_atom_site_type_symbol
_atom_site_fract_x
_atom_site_fract_y
_atom_site_fract_z
_atom_site_occupancy
Tl1 Tl 0.000 0.000 0.000 1
Tl2 Tl 0.500 0.500 0.000 1
Ge1 Ge 0.000 0.500 0.500 1
Bi1 Bi 0.500 0.000 0.500 1
Te1 Te 0.228 0.000 0.720 1
Te2 Te 0.245 0.500 0.273 1
# ΔE_f (raw) ... -19.26 kJ per mole of atoms

---

# Y2CuC2 (PBE, optimized geometry)
data_Y2CuC2
_chemical_formula_sum 'Y4 Cu2 C4'
_cell_length_a 3.658
_cell_length_b 3.658
_cell_length_c 13.611
_cell_angle_alpha 90.00
_cell_angle_beta 90.00
_cell_angle_gamma 90.00
_symmetry_space_group_name_H-M 'I 4/m m m'
_symmetry_Int_Tables_number 139
_symmetry_space_group_name_Hall '-I 4 2'
loop_
_atom_site_label
_atom_site_type_symbol
_atom_site_fract_x
_atom_site_fract_y
_atom_site_fract_z
_atom_site_occupancy
Y1 Y 0.000 0.000 0.140 1
Cu1 Cu 0.000 0.000 0.500 1
C1 C 0.000 0.500 0.250 1
# Energy of formation ... 0.6609 eV/atom

---

# NdV2Mo (PBE, optimized geometry)
data_NdV2Mo
_chemical_formula_sum 'Nd3 V6 Mo3'
_cell_length_a 4.2621
_cell_length_b 4.2621
_cell_length_c 16.0267
_cell_angle_alpha 90.00
_cell_angle_beta 90.00
_cell_angle_gamma 120.00
_symmetry_space_group_name_H-M 'R -3 m'
_symmetry_Int_Tables_number 166
_symmetry_space_group_name_Hall '-R 3 2"'
loop_
_atom_site_label
_atom_site_type_symbol
_atom_site_fract_x
_atom_site_fract_y
_atom_site_fract_z
_atom_site_occupancy
Nd1 Nd 0.0000 0.0000 0.0000 1
V1 V 0.0000 0.0000 0.1995 1
Mo1 Mo 0.0000 0.0000 0.5000 1
# Energy of formation ... 0.3717 eV/atom

---

# Sc2AsCl (PBE, optimized geometry)
data_Sc2AsCl
_chemical_formula_sum 'Sc4 As2 Cl2'
_cell_length_a 3.618
_cell_length_b 3.621
_cell_length_c 12.493
_cell_angle_alpha 90.00
_cell_angle_beta 90.00
_cell_angle_gamma 90.00
_symmetry_space_group_name_H-M 'I m m 2'
_symmetry_Int_Tables_number 44
loop_
_symmetry_equiv_pos_as_xyz
'x,y,z'
'-x,-y,z'
'-x,y,z'
'x,-y,z'
'x+1/2,y+1/2,z+1/2'
'-x+1/2,-y+1/2,z+1/2'
'-x+1/2,y+1/2,z+1/2'
'x+1/2,-y+1/2,z+1/2'
loop_
_atom_site_label
_atom_site_type_symbol
_atom_site_fract_x
_atom_site_fract_y
_atom_site_fract_z
_atom_site_occupancy
Sc1 Sc 0.000 0.000 0.000 1
Sc2 Sc 0.000 0.500 0.234 1
As1 As 0.000 0.000 0.577 1
Cl1 Cl 0.000 0.500 0.827 1
# ΔE_f (raw) ... -113.02 kJ per mole of atoms

---

# NaScNiBi2 (PBE, optimized geometry)
data_NaScNiBi2
_chemical_formula_sum 'Na1 Sc1 Ni1 Bi2'
_cell_length_a 5.496
_cell_length_b 5.496
_cell_length_c 5.654
_cell_angle_alpha 90.00
_cell_angle_beta 90.00
_cell_angle_gamma 90.00
_symmetry_space_group_name_H-M 'P 4/m m m'
_symmetry_Int_Tables_number 123
_symmetry_space_group_name_Hall '-P 4 2'
loop_
_atom_site_label
_atom_site_type_symbol
_atom_site_fract_x
_atom_site_fract_y
_atom_site_fract_z
_atom_site_occupancy
Na1 Na 0.000 0.000 0.000 1
Sc1 Sc 0.000 0.000 0.500 1
Ni1 Ni 0.500 0.500 0.000 1
Bi1 Bi 0.000 0.500 0.500 1
# Energy of formation ... 0.8232 eV/atom

---

# SrYP2S8 (PBE, optimized geometry)
data_SrYP2S8
_chemical_formula_sum 'Sr1 Y1 P2 S8'
_cell_length_a 6.0116
_cell_length_b 6.0116
_cell_length_c 9.1694
_cell_angle_alpha 90.00
_cell_angle_beta 90.00
_cell_angle_gamma 120.00
_symmetry_space_group_name_H-M 'P -3'
_symmetry_Int_Tables_number 147
loop_
_symmetry_equiv_pos_as_xyz
'x,y,z'
'-x,-y,-z'
'-y,x-y,z'
'y,-x+y,-z'
'-x+y,-x,z'
'x-y,x,-z'
loop_
_atom_site_label
_atom_site_type_symbol
_atom_site_fract_x
_atom_site_fract_y
_atom_site_fract_z
_atom_site_occupancy
Sr1 Sr 0.0000 0.0000 0.0000 1
Y1 Y 0.0000 0.0000 0.5000 1
P1 P 0.3333 0.6667 0.7594 1
S1 S 0.0006 0.6567 0.3023 1
S2 S 0.3333 0.6667 0.9817 1
# ΔE_f (raw) ... -77.56 kJ per mole of atoms

---

# Be2ZnCdOs (PBE, optimized geometry)
data_Be2ZnCdOs
_chemical_formula_sum 'Be2 Zn1 Cd1 Os1'
_cell_length_a 4.275
_cell_length_b 4.275
_cell_length_c 5.159
_cell_angle_alpha 90.00
_cell_angle_beta 90.00
_cell_angle_gamma 90.00
_symmetry_space_group_name_H-M 'P 4/m m m'
_symmetry_Int_Tables_number 123
_symmetry_space_group_name_Hall '-P 4 2'
loop_
_atom_site_label
_atom_site_type_symbol
_atom_site_fract_x
_atom_site_fract_y
_atom_site_fract_z
_atom_site_occupancy
Be1 Be 0.000 0.500 0.000 1
Zn1 Zn 0.000 0.000 0.500 1
Cd1 Cd 0.500 0.500 0.500 1
Os1 Os 0.500 0.500 0.000 1
# Energy of formation ... 0.8960 eV/atom

---

# NaLa2Y3Se6 (PBE, optimized geometry)
data_NaLa2Y3Se6
_chemical_formula_sum 'Na2 La4 Y6 Se12'
_cell_length_a 18.349
_cell_length_b 4.154
_cell_length_c 8.451
_cell_angle_alpha 90.00
_cell_angle_beta 104.23
_cell_angle_gamma 90.00
_symmetry_space_group_name_H-M 'C 1 2/m 1'
_symmetry_Int_Tables_number 12
loop_
_symmetry_equiv_pos_as_xyz
'x,y,z'
'-x,-y,-z'
'-x,y,-z'
'x,-y,z'
'x+1/2,y+1/2,z'
'-x+1/2,-y+1/2,-z'
'-x+1/2,y+1/2,-z'
'x+1/2,-y+1/2,z'
loop_
_atom_site_label
_atom_site_type_symbol
_atom_site_fract_x
_atom_site_fract_y
_atom_site_fract_z
_atom_site_occupancy
Na1 Na 0.000 0.000 0.000 1
La1 La 0.168 0.500 0.337 1
Y1 Y 0.000 0.000 0.500 1
Y2 Y 0.166 0.500 0.826 1
Se1 Se 0.003 0.500 0.745 1
Se2 Se 0.161 0.000 0.592 1
Se3 Se 0.168 0.000 0.070 1
# ΔE_f (raw) ... -176.97 kJ per mole of atoms